1.
Below is a relaxed structure of NaZn2RuF, with properties calculated at the PBE level.

```
5
Lattice="4.8938 0.0000 0.0000 0.0000 4.8938 0.0000 0.0000 0.0000 4.2177" Properties=species:S:1:pos:R:3 pbc="T T T"
Na 0.0000 0.0000 0.0000
Zn 0.0000 2.4469 2.1089
Zn 2.4469 0.0000 2.1089
Ru 2.4469 2.4469 2.1089
F 2.4469 2.4469 0.0000
```

Results
Symmetry ... No. 123
Energy relative to the elements, uncorrected ... -190 meV per atom
Magnetization ... 0.000 μB/atom
VASP energy ... -3.19 eV/atom

=====

2.
Below is a relaxed structure of NaZnRuF6, with properties calculated at the PBE level.

```
18
Lattice="5.4354 0.0000 0.0000 -2.7177 4.7072 0.0000 0.0000 0.0000 9.7009" Properties=species:S:1:pos:R:3 pbc="T T T"
Na 0.0000 0.0000 0.0000
Na 0.0000 0.0000 4.8504
Zn 0.0000 3.1382 2.4252
Zn 2.7177 1.5691 7.2757
Ru 0.0000 3.1382 7.2757
Ru 2.7177 1.5691 2.4252
F -0.9338 1.6838 6.2121
F -1.7264 3.0566 8.3392
F 0.9338 1.6838 8.3392
F -0.7926 4.6740 6.2121
F 1.9251 0.0332 1.3616
F 0.9914 1.6506 3.4888
F 1.7264 3.0566 6.2121
F 0.7926 4.6740 8.3392
F 3.5103 0.0332 3.4888
F 1.7839 3.0234 1.3616
F 4.4441 1.6506 1.3616
F 3.6515 3.0234 3.4888
```

Results
Symmetry ... No. 163
Energy relative to the elements, uncorrected ... -2084 meV per atom
Magnetization ... 0.111 μB/atom
VASP energy ... -4.65 eV/atom

=====

3.
Below is a relaxed structure of Na4SF, with properties calculated at the PBE level.

```
12
Lattice="4.5144 0.0000 0.0000 0.0000 4.7685 0.0000 0.0000 0.0000 13.0091" Properties=species:S:1:pos:R:3 pbc="T T T"
Na 0.0000 0.0000 0.0000
Na 0.0000 0.0000 3.1297
Na 0.0000 2.3842 6.5046
Na 0.0000 2.3842 9.6342
Na 2.2572 0.0000 6.0236
Na 2.2572 0.0000 9.5421
Na 2.2572 2.3842 3.0375
Na 2.2572 2.3842 12.5281
S 0.0000 0.0000 7.8623
S 0.0000 2.3842 1.3577
F 2.2572 0.0000 3.7269
F 2.2572 2.3842 10.2314
```

Results
Symmetry ... No. 38
Energy relative to the elements, uncorrected ... -1298 meV per atom
Magnetization ... 0.002 μB/atom
VASP energy ... -3.18 eV/atom

=====

4.
Below is a relaxed structure of NaSF4, with properties calculated at the PBE level.

```
12
Lattice="5.7491 0.0000 0.0000 0.0000 5.7491 0.0000 0.0000 0.0000 5.7253" Properties=species:S:1:pos:R:3 pbc="T T T"
Na 0.0000 0.0000 0.0000
Na 2.8745 2.8745 2.8627
S 0.0000 2.8745 4.2940
S 2.8745 0.0000 1.4313
F 1.2733 4.1604 4.2924
F 1.2859 1.6012 4.2956
F 1.5887 1.2733 1.4329
F 1.6012 4.4632 1.4297
F 4.1479 1.2859 1.4297
F 4.1604 4.4758 1.4329
F 4.4632 4.1479 4.2956
F 4.4758 1.5887 4.2924
```

Results
Symmetry ... No. 82
ΔE to the lowest computed polymorph ... 0.31 eV per formula unit
Energy relative to the elements, uncorrected ... -1725 meV per atom
Magnetization ... 0.167 μB/atom
VASP energy ... -3.88 eV/atom

=====

5.
Below is a relaxed structure of NaS2F, with properties calculated at the PBE level.

```
12
Lattice="2.9069 0.0000 0.0000 -1.4534 2.5174 0.0000 0.0000 0.0000 25.7114" Properties=species:S:1:pos:R:3 pbc="T T T"
Na 0.0000 0.0000 0.0000
Na 0.0000 1.6783 17.1410
Na 1.4534 0.8391 8.5705
S 0.0000 0.0000 10.8030
S 0.0000 0.0000 14.9084
S 0.0000 1.6783 2.2326
S 0.0000 1.6783 6.3379
S 1.4534 0.8391 19.3735
S 1.4534 0.8391 23.4789
F 0.0000 0.0000 12.8557
F 0.0000 1.6783 4.2852
F 1.4534 0.8391 21.4262
```

Results
Symmetry ... No. 166
ΔE to the lowest computed polymorph ... 4.52 eV per formula unit
Energy relative to the elements, uncorrected ... 103 meV per atom
Magnetization ... 0.000 μB/atom
VASP energy ... -2.76 eV/atom

=====

6.
Below is a relaxed structure of Na12S5F3, with properties calculated at the PBE level.

```
80
Lattice="-7.8108 7.8108 7.8108 7.8108 -7.8108 7.8108 7.8108 7.8108 -7.8108" Properties=species:S:1:pos:R:3 pbc="T T T"
Na 2.2456 -0.5111 1.3763
Na 9.4705 5.2816 -4.4165
Na 7.2997 -1.3763 2.2456
Na 12.2273 -1.6598 2.5291
Na 1.3763 2.2456 -0.5111
Na 10.3399 3.3943 -1.6598
Na 10.0564 0.5111 1.3763
Na 9.4705 -2.5291 4.4165
Na 5.2816 4.4165 -1.6598
Na 6.4345 2.2456 0.5111
Na -0.5111 1.3763 2.2456
Na 4.4165 -1.6598 5.2816
Na 7.2997 6.4345 -2.2456
Na 4.4165 1.6598 2.5291
Na 6.4345 -2.2456 7.2997
Na 5.2816 -4.4165 9.4705
Na 2.2456 7.2997 -1.3763
Na 9.4705 2.5291 3.3943
Na 2.5291 4.4165 1.6598
Na 9.1870 5.5651 0.5111
Na 4.4165 9.4705 -2.5291
Na 7.2997 1.3763 5.5651
Na 1.6598 2.5291 4.4165
Na 2.2456 0.5111 6.4345
Na 5.5651 7.2997 1.3763
Na 6.1510 5.2816 3.3943
Na 0.5111 6.4345 2.2456
Na 3.3943 -1.6598 10.3399
Na -1.3763 2.2456 7.2997
Na 5.2816 3.3943 6.1510
Na -1.6598 5.2816 4.4165
Na 5.5651 0.5111 9.1870
Na 2.5291 12.2273 -1.6598
Na 1.3763 10.0564 0.5111
Na 3.3943 6.1510 5.2816
Na 0.5111 1.3763 10.0564
Na 3.3943 9.4705 2.5291
Na 8.3219 6.4345 5.5651
Na 1.3763 5.5651 7.2997
Na 2.5291 3.3943 9.4705
Na -1.6598 10.3399 3.3943
Na -2.2456 7.2997 6.4345
Na -2.5291 4.4165 9.4705
Na 6.4345 5.5651 8.3219
Na -4.4165 9.4705 5.2816
Na 0.5111 9.1870 5.5651
Na -1.6598 2.5291 12.2273
Na 5.5651 8.3219 6.4345
S 0.0000 0.0000 0.0000
S 3.9054 3.9054 -3.9054
S 3.9054 -3.9054 3.9054
S 7.8108 0.0000 0.0000
S 11.7162 1.9527 0.0000
S 7.8108 -3.9054 5.8581
S 5.8581 7.8108 -3.9054
S 5.8581 0.0000 3.9054
S 3.9054 5.8581 0.0000
S 7.8108 3.9054 1.9527
S -3.9054 3.9054 3.9054
S 0.0000 7.8108 0.0000
S 0.0000 0.0000 7.8108
S 3.9054 3.9054 3.9054
S 0.0000 3.9054 5.8581
S 3.9054 1.9527 7.8108
S 1.9527 7.8108 3.9054
S 1.9527 0.0000 11.7162
S 0.0000 11.7162 1.9527
S -3.9054 5.8581 7.8108
F 3.9054 1.9527 0.0000
F 7.8108 3.9054 -1.9527
F 1.9527 0.0000 3.9054
F 9.7635 0.0000 3.9054
F 0.0000 3.9054 1.9527
F 3.9054 -1.9527 7.8108
F 3.9054 9.7635 0.0000
F 7.8108 3.9054 5.8581
F -1.9527 7.8108 3.9054
F 5.8581 7.8108 3.9054
F 0.0000 3.9054 9.7635
F 3.9054 5.8581 7.8108
```

Results
Symmetry ... No. 230
Energy relative to the elements, uncorrected ... -1177 meV per atom
Magnetization ... 0.061 μB/atom
VASP energy ... -3.28 eV/atom

=====

7.
Below is a relaxed structure of Na3SF, with properties calculated at the PBE level.

```
10
Lattice="7.3452 -2.0179 0.0000 7.3452 2.0179 0.0000 -0.8230 0.0000 7.0992" Properties=species:S:1:pos:R:3 pbc="T T T"
Na 0.6507 0.0000 2.4008
Na 1.5618 0.0000 6.7938
Na 4.2523 0.0000 2.6656
Na 9.6152 0.0000 4.4337
Na 12.3057 0.0000 0.3054
Na 13.2167 0.0000 4.6985
S 4.1485 0.0000 5.5178
S 9.7189 0.0000 1.5815
F 0.7700 0.0000 4.6853
F 13.0974 0.0000 2.4139
```

Results
Symmetry ... No. 12
ΔE to the lowest computed polymorph ... 0.11 eV per formula unit
Energy relative to the elements, uncorrected ... -1645 meV per atom
Magnetization ... 0.000 μB/atom
VASP energy ... -3.64 eV/atom

=====

8.
Below is a relaxed structure of NaS3F, with properties calculated at the PBE level.

```
5
Lattice="4.4637 0.0000 0.0000 0.0000 4.4637 0.0000 0.0000 0.0000 4.4637" Properties=species:S:1:pos:R:3 pbc="T T T"
Na 0.0000 0.0000 0.0000
S 0.0000 2.2319 2.2319
S 2.2319 0.0000 2.2319
S 2.2319 2.2319 0.0000
F 2.2319 2.2319 2.2319
```

Results
Symmetry ... No. 221
ΔE to the lowest computed polymorph ... 0.00 eV per formula unit
Energy relative to the elements, uncorrected ... 344 meV per atom
Magnetization ... 0.000 μB/atom
VASP energy ... -2.77 eV/atom

=====

9.
Below is a relaxed structure of NaSF, with properties calculated at the PBE level.

```
6
Lattice="3.4516 0.0000 0.0000 0.0001 4.4443 0.0000 0.1367 2.0080 7.3783" Properties=species:S:1:pos:R:3 pbc="T T T"
Na 0.8609 1.1109 0.7522
Na 2.7276 5.3413 6.6261
S 1.0014 3.2001 4.3472
S 2.5871 3.2522 3.0311
F 0.8660 3.3342 0.6855
F 2.7224 3.1181 6.6928
```

Results
Symmetry ... No. 2
Energy relative to the elements, uncorrected ... -1559 meV per atom
Magnetization ... 0.000 μB/atom
VASP energy ... -4.00 eV/atom

=====

10.
Below is a relaxed structure of NaS3F, with properties calculated at the PBE level.

```
5
Lattice="5.3007 0.0000 0.0000 0.0000 5.3007 0.0000 0.0000 0.0000 5.3007" Properties=species:S:1:pos:R:3 pbc="T T T"
Na 0.0000 0.0000 0.0000
S 0.0000 0.0000 2.6504
S 0.0000 2.6504 0.0000
S 2.6504 0.0000 0.0000
F 2.6504 2.6504 2.6504
```

Results
Symmetry ... No. 221
ΔE to the lowest computed polymorph ... 2.96 eV per formula unit
Energy relative to the elements, uncorrected ... 936 meV per atom
Magnetization ... 1.200 μB/atom
VASP energy ... -2.18 eV/atom

=====

11.
Below is a relaxed structure of NaSF4, with properties calculated at the PBE level.

```
24
Lattice="6.3764 0.0000 0.0000 0.0000 7.7034 0.0000 -5.3158 0.0000 7.4262" Properties=species:S:1:pos:R:3 pbc="T T T"
Na -1.2992 0.1347 2.3609
Na -3.9571 3.7170 6.0740
Na 5.0177 3.9865 1.3522
Na 2.3598 7.5687 5.0653
S -0.4174 5.0396 4.9225
S 2.2405 6.5156 1.2094
S -1.1799 1.1879 6.2168
S 1.4780 2.6638 2.5037
F -0.7516 5.4931 3.2320
F -3.4095 6.0621 6.9451
F -1.9669 4.2584 5.0028
F 0.6910 7.2968 1.2897
F -1.7000 0.2734 4.7096
F 0.9579 3.5783 0.9965
F -2.9733 1.5696 6.4932
F -0.3153 2.2822 2.7801
F 1.3759 5.4213 4.6461
F 4.0338 6.1339 0.9330
F 0.1027 4.1251 6.4297
F 2.7606 7.4300 2.7166
F 0.3696 0.4067 6.1365
F 3.0275 3.4451 2.4234
F 4.4701 1.6413 0.4811
F 1.8122 2.2104 4.1942
```

Results
Symmetry ... No. 14
ΔE to the lowest computed polymorph ... 0.00 eV per formula unit
Energy relative to the elements, uncorrected ... -1777 meV per atom
Magnetization ... 0.167 μB/atom
VASP energy ... -3.93 eV/atom

=====

12.
Below is a relaxed structure of Na6SF12, with properties calculated at the PBE level.

```
19
Lattice="5.0128 2.8941 3.3487 -5.0128 2.8941 3.3487 0.0000 -5.7882 3.3487" Properties=species:S:1:pos:R:3 pbc="T T T"
Na -3.8890 -0.9640 5.5755
Na -1.1096 -3.8499 4.4705
Na -2.7793 2.8859 4.4705
Na 2.7793 -2.8859 5.5755
Na 1.1096 3.8499 5.5755
Na 3.8890 0.9640 4.4705
S 0.0000 0.0000 5.0230
F -2.7702 -2.8804 5.5665
F -3.8796 0.9588 4.4794
F -0.8512 -0.9865 4.0988
F 1.1094 -3.8392 4.4794
F -0.4287 1.2304 4.0988
F -1.2800 0.2439 5.9472
F 1.2799 -0.2439 4.0988
F 0.4287 -1.2304 5.9472
F -1.1095 3.8392 5.5665
F 0.8512 0.9865 5.9472
F 3.8796 -0.9588 5.5665
F 2.7702 2.8804 4.4794
```

Results
Symmetry ... No. 148
Energy relative to the elements, uncorrected ... -2279 meV per atom
Magnetization ... 0.022 μB/atom
VASP energy ... -4.09 eV/atom

=====

13.
Below is a relaxed structure of NaSF3, with properties calculated at the PBE level.

```
5
Lattice="4.2768 0.0000 0.0000 0.0000 4.2768 0.0000 0.0000 0.0000 4.2768" Properties=species:S:1:pos:R:3 pbc="T T T"
Na 0.0000 0.0000 0.0000
S 2.1384 2.1384 2.1384
F 0.0000 2.1384 2.1384
F 2.1384 0.0000 2.1384
F 2.1384 2.1384 0.0000
```

Results
Symmetry ... No. 221
ΔE to the lowest computed polymorph ... 0.00 eV per formula unit
Energy relative to the elements, uncorrected ... -1263 meV per atom
Magnetization ... 0.000 μB/atom
VASP energy ... -3.47 eV/atom

=====

14.
Below is a relaxed structure of Na2SF4, with properties calculated at the PBE level.

```
14
Lattice="5.6153 0.0000 0.0000 0.0000 5.6153 0.0000 0.0000 0.0000 6.3611" Properties=species:S:1:pos:R:3 pbc="T T T"
Na 0.0000 2.8076 1.5903
Na 0.0000 2.8076 4.7708
Na 2.8076 0.0000 1.5903
Na 2.8076 0.0000 4.7708
S 0.0000 0.0000 0.0000
S 2.8076 2.8076 3.1806
F 1.3552 1.3552 0.0000
F 1.3552 4.2601 0.0000
F 1.4525 1.4525 3.1806
F 1.4525 4.1628 3.1806
F 4.1628 1.4525 3.1806
F 4.1628 4.1628 3.1806
F 4.2601 1.3552 0.0000
F 4.2601 4.2601 0.0000
```

Results
Symmetry ... No. 139
Energy relative to the elements, uncorrected ... -1952 meV per atom
Magnetization ... 0.000 μB/atom
VASP energy ... -3.99 eV/atom

=====

15.
Below is a relaxed structure of Na3SF, with properties calculated at the PBE level.

```
5
Lattice="4.4489 0.0000 0.0000 0.0000 4.4489 0.0000 0.0000 0.0000 4.4489" Properties=species:S:1:pos:R:3 pbc="T T T"
Na 0.0000 0.0000 2.2244
Na 0.0000 2.2244 0.0000
Na 2.2244 0.0000 0.0000
S 2.2244 2.2244 2.2244
F 0.0000 0.0000 0.0000
```

Results
Symmetry ... No. 221
ΔE to the lowest computed polymorph ... 0.00 eV per formula unit
Energy relative to the elements, uncorrected ... -1667 meV per atom
Magnetization ... 0.000 μB/atom
VASP energy ... -3.66 eV/atom

=====

16.
Below is a relaxed structure of Na7S2F2, with properties calculated at the PBE level.

```
11
Lattice="4.4254 -4.4715 0.0000 4.4254 4.4715 0.0000 0.0000 0.0000 6.2224" Properties=species:S:1:pos:R:3 pbc="T T T"
Na 0.0000 0.0000 0.0000
Na 2.2127 2.2357 1.5594
Na 2.2127 2.2357 4.6630
Na 2.2127 -2.2357 1.5594
Na 2.2127 -2.2357 4.6630
Na 4.4254 0.0000 1.4879
Na 4.4254 0.0000 4.7345
S 2.2071 0.0000 3.1112
S 6.6437 0.0000 3.1112
F 4.4254 1.9238 0.0000
F 4.4254 -1.9238 0.0000
```

Results
Symmetry ... No. 65
Energy relative to the elements, uncorrected ... -1341 meV per atom
Magnetization ... 0.000 μB/atom
VASP energy ... -3.27 eV/atom

=====

17.
Below is a relaxed structure of NaS2F8, with properties calculated at the PBE level.

```
11
Lattice="6.6329 0.0000 0.0000 -3.3164 5.7442 0.0000 0.0000 0.0000 4.4801" Properties=species:S:1:pos:R:3 pbc="T T T"
Na 0.0000 0.0000 0.0000
S 0.0000 3.8295 3.4064
S 3.3164 1.9147 1.0737
F 0.0000 2.0718 3.3325
F -1.5222 4.7083 3.3325
F 0.0000 3.8295 1.5591
F 1.7942 1.0359 1.1476
F 1.5222 4.7083 3.3325
F 3.3164 1.9147 2.9210
F 4.8387 1.0359 1.1476
F 3.3164 3.6724 1.1476
```

Results
Symmetry ... No. 164
Energy relative to the elements, uncorrected ... -1444 meV per atom
Magnetization ... 0.058 μB/atom
VASP energy ... -3.68 eV/atom

=====

18.
Below is a relaxed structure of NaSF3, with properties calculated at the PBE level.

```
5
Lattice="4.1786 0.0000 0.0000 0.0000 4.1786 0.0000 0.0000 0.0000 4.1786" Properties=species:S:1:pos:R:3 pbc="T T T"
Na 0.0000 0.0000 0.0000
S 2.0893 2.0893 2.0893
F 0.0000 0.0000 2.0893
F 0.0000 2.0893 0.0000
F 2.0893 0.0000 0.0000
```

Results
Symmetry ... No. 221
ΔE to the lowest computed polymorph ... 3.00 eV per formula unit
Energy relative to the elements, uncorrected ... -663 meV per atom
Magnetization ... 0.400 μB/atom
VASP energy ... -2.88 eV/atom

=====

19.
Below is a relaxed structure of NaS2F, with properties calculated at the PBE level.

```
16
Lattice="3.2963 0.0000 0.0000 0.0000 3.2963 0.0000 0.0000 0.0000 28.7883" Properties=species:S:1:pos:R:3 pbc="T T T"
Na 0.0000 0.0000 0.0000
Na 0.0000 1.6482 7.1971
Na 1.6482 0.0000 21.5912
Na 1.6482 1.6482 14.3942
S 0.8195 0.8241 17.9927
S 0.8241 2.4676 25.1898
S 0.8241 2.4769 10.7956
S 0.8287 0.8241 3.5985
S 2.4676 2.4722 3.5985
S 2.4722 0.8195 10.7956
S 2.4722 0.8287 25.1898
S 2.4769 2.4722 17.9927
F 0.0000 0.0000 14.3942
F 0.0000 1.6482 21.5912
F 1.6482 0.0000 7.1971
F 1.6482 1.6482 0.0000
```

Results
Symmetry ... No. 122
ΔE to the lowest computed polymorph ... 0.00 eV per formula unit
Energy relative to the elements, uncorrected ... -1026 meV per atom
Magnetization ... 0.000 μB/atom
VASP energy ... -3.89 eV/atom

=====

20.
Below is a relaxed structure of NaSF5, with properties calculated at the PBE level.

```
14
Lattice="4.6959 0.0000 0.0000 0.0000 8.0891 0.0000 0.0000 0.0000 6.6204" Properties=species:S:1:pos:R:3 pbc="T T T"
Na 0.0000 0.0000 0.0000
Na 2.3480 4.0446 3.3102
S 0.0000 4.0446 0.3584
S 2.3480 0.0000 3.6686
F 0.0000 2.3075 0.2905
F 0.0000 4.0446 2.8199
F 0.0000 5.7816 0.2905
F 1.1700 4.0446 5.8956
F 1.1779 0.0000 2.5854
F 2.3480 0.0000 6.1301
F 2.3480 1.7371 3.6007
F 2.3480 6.3520 3.6007
F 3.5180 0.0000 2.5854
F 3.5259 4.0446 5.8956
```

Results
Symmetry ... No. 44
Energy relative to the elements, uncorrected ... -1789 meV per atom
Magnetization ... 0.009 μB/atom
VASP energy ... -3.90 eV/atom